[1]
A plane-wave DFT calculation with PBE was carried out for CdRe2Hg2 after structural relaxation.

Computed properties:
* relative energy among the computed polymorphs: 0 meV/atom
* total energy: -45.0 eV/cell
* DOS(E_F): 7.8 states/eV per cell
* magnetization: 0.0 μB per formula unit

CIF file:
```
data_CdRe2Hg2
_chemical_formula_sum 'Cd2 Re4 Hg4'
_symmetry_space_group_name_H-M 'I 4/m m m'
_symmetry_Int_Tables_number 139
_symmetry_space_group_name_Hall '-I 4 2'
_cell_length_a 3.534
_cell_length_b 3.534
_cell_length_c 17.390
_cell_angle_alpha 90.00
_cell_angle_beta 90.00
_cell_angle_gamma 90.00
loop_
_atom_site_label
_atom_site_type_symbol
_atom_site_fract_x
_atom_site_fract_y
_atom_site_fract_z
_atom_site_occupancy
Cd1 Cd 0.000 0.000 0.000 1
Re1 Re 0.000 0.500 0.250 1
Hg1 Hg 0.000 0.000 0.390 1
```


[2]
A plane-wave DFT calculation with PBE was carried out for Cd2ReHg after structural relaxation.

Computed properties:
* total energy: -24.4 eV/cell
* DOS(E_F): 6.3 states/eV per cell
* magnetization: 0.4 μB per formula unit

CIF file:
```
data_Cd2ReHg
_chemical_formula_sum 'Cd4 Re2 Hg2'
_symmetry_space_group_name_H-M 'I m m 2'
_symmetry_Int_Tables_number 44
_symmetry_space_group_name_Hall 'I 2 -2'
_cell_length_a 2.814
_cell_length_b 4.896
_cell_length_c 13.132
_cell_angle_alpha 90.00
_cell_angle_beta 90.00
_cell_angle_gamma 90.00
loop_
_atom_site_label
_atom_site_type_symbol
_atom_site_fract_x
_atom_site_fract_y
_atom_site_fract_z
_atom_site_occupancy
Cd1 Cd 0.000 0.000 0.000 1
Cd2 Cd 0.000 0.500 0.180 1
Re1 Re 0.000 0.000 0.491 1
Hg1 Hg 0.000 0.500 0.802 1
```


[3]
A plane-wave DFT calculation with PBE was carried out for Cd2ReHg after structural relaxation.

Computed properties:
* total energy: -37.5 eV/cell
* DOS(E_F): 9.8 states/eV per cell
* magnetization: 0.0 μB per formula unit

CIF file:
```
data_Cd2ReHg
_chemical_formula_sum 'Cd6 Re3 Hg3'
_symmetry_space_group_name_H-M 'R 3 m'
_symmetry_Int_Tables_number 160
_symmetry_space_group_name_Hall 'R 3 -2"'
_cell_length_a 2.9000
_cell_length_b 2.9000
_cell_length_c 33.4461
_cell_angle_alpha 90.00
_cell_angle_beta 90.00
_cell_angle_gamma 120.00
loop_
_atom_site_label
_atom_site_type_symbol
_atom_site_fract_x
_atom_site_fract_y
_atom_site_fract_z
_atom_site_occupancy
Cd1 Cd 0.0000 0.0000 0.0000 1
Cd2 Cd 0.0000 0.0000 0.2417 1
Re1 Re 0.0000 0.0000 0.5024 1
Hg1 Hg 0.0000 0.0000 0.7614 1
```


[4]
A plane-wave DFT calculation with PBE was carried out for CdRe2Hg after structural relaxation.

Computed properties:
* relative energy among the computed polymorphs: 537 meV/atom
* total energy: -45.4 eV/cell
* DOS(E_F): 6.1 states/eV per cell
* magnetization: 0.0 μB per formula unit

CIF file:
```
data_CdRe2Hg
_chemical_formula_sum 'Cd2 Re4 Hg2'
_symmetry_space_group_name_H-M 'I m m m'
_symmetry_Int_Tables_number 71
_symmetry_space_group_name_Hall '-I 2 2'
_cell_length_a 3.097
_cell_length_b 4.604
_cell_length_c 9.815
_cell_angle_alpha 90.00
_cell_angle_beta 90.00
_cell_angle_gamma 90.00
loop_
_atom_site_label
_atom_site_type_symbol
_atom_site_fract_x
_atom_site_fract_y
_atom_site_fract_z
_atom_site_occupancy
Cd1 Cd 0.000 0.000 0.000 1
Re1 Re 0.000 0.500 0.248 1
Hg1 Hg 0.000 0.000 0.500 1
```